Record 1
Computed, not measured: a relaxed Tb3Mg3InIr2 crystal at the PBE level of DFT.

Lattice parameters (Å, degrees): 7.3845 7.3845 4.2473 90.00 90.00 120.00
With the nearest neighbours (Å) after each atom.
Positions (direct):
In1 0.0000 0.0000 0.0000  6 Mg 2.85, 3 Tb 3.17
Ir1 0.6667 0.3333 0.5000  3 Mg 2.78, 6 Tb 3.05
Ir2 0.3333 0.6667 0.5000  3 Mg 2.78, 6 Tb 3.05
Mg1 0.2574 0.0000 0.5000  2 Ir 2.78, 2 In 2.85
Mg2 0.0000 0.2574 0.5000  2 Ir 2.78, 2 In 2.85
Mg3 0.7426 0.7426 0.5000  2 Ir 2.78, 2 In 2.85
Tb1 0.5711 0.0000 0.0000  4 Ir 3.05, 2 Mg 3.14, 1 In 3.17
Tb2 0.4289 0.4289 0.0000  4 Ir 3.05, 2 Mg 3.14, 1 In 3.17
Tb3 0.0000 0.5711 0.0000  4 Ir 3.05, 2 Mg 3.14, 1 In 3.17

Properties
Density ... 8684 kg/m3
V ... 200.58 Å³ per cell
SG ... P-62m
Final energy ... -4.833 eV per atom


Record 2
Computed, not measured: a relaxed TbNdAlIr2 crystal at the PBE level of DFT.

Lattice parameters (Å, degrees): 5.6554 5.6554 5.6554 137.09 117.54 78.76
With the nearest neighbours (Å) after each atom.
Positions (direct):
Al1 0.0003 0.0003 0.0000  4 Ir 2.56
Ir1 0.7420 0.4998 0.2421  2 Al 2.56, 1 Ir 2.84
Ir2 0.2577 0.4998 0.7579  2 Al 2.56, 1 Ir 2.84
Nd1 0.6984 0.1984 0.5000  6 Ir 3.04-3.05, 2 Al 3.35
Tb1 0.3016 0.8016 0.5000  6 Ir 3.04-3.05, 2 Al 3.35

Properties
Density ... 11190 kg/m3
V ... 106.04 Å³ per cell
SG ... Imm2
Final energy ... -7.019 eV per atom


Record 3
Computed, not measured: a relaxed Pr2GaPb crystal at the PBE level of DFT.

Lattice parameters (Å, degrees): 4.3502 6.3291 6.3291 43.27 90.00 90.00
With the nearest neighbours (Å) after each atom.
Positions (direct):
Ga1 0.0000 0.4136 0.4136  2 Pb 2.91, 5 Pr 3.17-3.24
Pb1 0.5000 0.5783 0.5783  2 Ga 2.91
Pr1 0.0000 0.1443 0.1443  1 Ga 3.17, 4 Pb 3.28
Pr2 0.5000 0.8639 0.8639  4 Ga 3.24, 3 Pb 3.36-3.44

Properties
Density ... 7767 kg/m3
V ... 119.45 Å³ per cell
SG ... Amm2
Final energy ... -4.650 eV per atom


Record 4
Computed, not measured: a relaxed Tb2ErIn3Pd2Au crystal at the PBE level of DFT.

Lattice parameters (Å, degrees): 3.8322 7.7940 7.7940 119.86 90.00 90.00
With the nearest neighbours (Å) after each atom.
Positions (direct):
Au1 0.0000 0.0008 0.0008  6 In 2.84-2.85, 1 Er 3.16, 2 Tb 3.17
Er1 0.0000 0.4059 0.4059  4 Pd 3.03, 1 Au 3.16, 6 In 3.18-3.38
In1 0.5000 0.2694 0.0007  2 Au 2.84, 2 Pd 2.88-2.90, 2 Tb 3.18
In2 0.5000 0.0007 0.2694  2 Au 2.84, 2 Pd 2.88-2.90, 2 Tb 3.18
In3 0.5000 0.7304 0.7304  2 Au 2.85, 2 Pd 2.87, 2 Er 3.18
Pd1 0.5000 0.6646 0.3343  3 In 2.87-2.90, 2 Er 3.03, 4 Tb 3.05-3.06
Pd2 0.5000 0.3343 0.6646  3 In 2.87-2.90, 2 Er 3.03, 4 Tb 3.05-3.06
Tb1 0.0000 0.5940 0.0000  4 Pd 3.05-3.06, 1 Au 3.17, 6 In 3.18-3.39
Tb2 0.0000 0.0000 0.5940  4 Pd 3.05-3.06, 1 Au 3.17, 6 In 3.18-3.39

Properties
Density ... 10194 kg/m3
V ... 201.89 Å³ per cell
SG ... Amm2
Final energy ... -4.740 eV per atom


Record 5
Computed, not measured: a relaxed Zr2CdN crystal at the PBE level of DFT.

Lattice parameters (Å, degrees): 3.3204 3.3204 14.8494 90.00 90.00 120.00
With the nearest neighbours (Å) after each atom.
Positions (direct):
Cd1 0.3333 0.6667 0.2501  6 Zr 3.15, 6 Cd 3.32
Cd2 0.6667 0.3333 0.7499  6 Zr 3.15, 6 Cd 3.32
N1 0.0000 0.0000 0.0000  6 Zr 2.27
N2 0.0000 0.0000 0.5000  6 Zr 2.27
Zr1 0.6667 0.3333 0.0817  3 N 2.27
Zr2 0.6667 0.3333 0.4182  3 N 2.27
Zr3 0.3333 0.6667 0.5818  3 N 2.27
Zr4 0.3333 0.6667 0.9183  3 N 2.27

Properties
Density ... 7235 kg/m3
V ... 141.78 Å³ per cell
SG ... P6_3/mmc
Final energy ... -7.532 eV per atom


Record 6
Computed, not measured: a relaxed Be2GePt2 crystal at the PBE level of DFT.

Lattice parameters (Å, degrees): 6.6762 6.6762 6.6762 151.64 151.64 40.54
With the nearest neighbours (Å) after each atom.
Positions (direct):
Be1 0.7500 0.2500 0.5000  4 Be 2.31, 4 Pt 2.34
Be2 0.2500 0.7500 0.5000  4 Be 2.31, 4 Pt 2.34
Ge1 0.0000 0.0000 0.0000  8 Pt 2.73
Pt1 0.3839 0.3839 0.0000  4 Be 2.34
Pt2 0.6161 0.6161 0.0000  4 Be 2.34

Properties
Density ... 11917 kg/m3
V ... 67.00 Å³ per cell
SG ... I4/mmm
Final energy ... -5.278 eV per atom


Record 7
Computed, not measured: a relaxed SmPaGa crystal at the PBE level of DFT.

Lattice parameters (Å, degrees): 4.8952 4.8952 4.8952 60.00 60.00 60.00
With the nearest neighbours (Å) after each atom.
Positions (direct):
Ga1 0.0000 0.0000 0.0000  4 Sm 3.00, 4 Pa 3.00
Pa1 0.2500 0.2500 0.2500  4 Ga 3.00
Sm1 0.7500 0.7500 0.7500  4 Ga 3.00

Properties
Density ... 9031 kg/m3
V ... 82.95 Å³ per cell
SG ... F-43m
E above lowest polymorph ... 0 meV/atom


Record 8
Computed, not measured: a relaxed CsGdPtS3 crystal at the PBE level of DFT.

Lattice parameters (Å, degrees): 8.3832 8.3832 10.2017 90.00 90.00 152.38
With the nearest neighbours (Å) after each atom.
Positions (direct):
Cs1 0.2498 0.7502 0.2500  6 S 3.49-3.53
Cs2 0.7502 0.2498 0.7500  6 S 3.49-3.53
Gd1 0.0000 0.0000 0.0000  6 S 2.78-2.82
Gd2 0.0000 0.0000 0.5000  6 S 2.78-2.82
Pt1 0.5090 0.4910 0.2500  4 S 2.40-2.42
Pt2 0.4910 0.5090 0.7500  4 S 2.40-2.42
S1 0.6084 0.3916 0.0763  1 Pt 2.40
S2 0.9255 0.0745 0.2500  2 Pt 2.42
S3 0.6084 0.3916 0.4237  1 Pt 2.40
S4 0.3916 0.6084 0.5763  1 Pt 2.40
S5 0.0745 0.9255 0.7500  2 Pt 2.42
S6 0.3916 0.6084 0.9237  1 Pt 2.40

Properties
Density ... 5809 kg/m3
V ... 332.42 Å³ per cell
SG ... Cmcm
Final energy ... -5.173 eV per atom


Record 9
Computed, not measured: a relaxed CoRe crystal at the PBE level of DFT.

Lattice parameters (Å, degrees): 4.8848 4.8848 7.9024 90.00 90.00 118.24
With the nearest neighbours (Å) after each atom.
Positions (direct):
Co1 0.8673 0.1327 0.0838  4 Co 2.59-2.84, 6 Re 2.71-2.83
Co2 0.3445 0.6555 0.2500  6 Re 2.31-2.58
Co3 0.8673 0.1327 0.4162  4 Co 2.59-2.84, 6 Re 2.71-2.83
Co4 0.1327 0.8673 0.5838  4 Co 2.59-2.84, 6 Re 2.71-2.83
Co5 0.6555 0.3445 0.7500  6 Re 2.31-2.58
Co6 0.1327 0.8673 0.9162  4 Co 2.59-2.84, 6 Re 2.71-2.83
Re1 0.5000 0.5000 0.0000  2 Co 2.37, 4 Re 2.54
Re2 0.3526 0.1320 0.2500  2 Co 2.31-2.58, 4 Re 2.43-2.58
Re3 0.8680 0.6474 0.2500  2 Co 2.31-2.58, 4 Re 2.43-2.58
Re4 0.5000 0.5000 0.5000  2 Co 2.37, 4 Re 2.54
Re5 0.1320 0.3526 0.7500  2 Co 2.31-2.58, 4 Re 2.43-2.58
Re6 0.6474 0.8680 0.7500  2 Co 2.31-2.58, 4 Re 2.43-2.58

Properties
Density ... 14703 kg/m3
V ... 166.11 Å³ per cell
SG ... Cmcm
Energy relative to the elements ... 0.495 eV/atom


Record 10
Computed, not measured: a relaxed SmRe3Pb crystal at the PBE level of DFT.

Lattice parameters (Å, degrees): 4.9941 4.9941 4.9941 90.00 90.00 90.00
With the nearest neighbours (Å) after each atom.
Positions (direct):
Pb1 0.0000 0.0000 0.0000  12 Re 3.53
Re1 0.5000 0.5000 0.0000  2 Sm 2.50
Re2 0.5000 0.0000 0.5000  2 Sm 2.50
Re3 0.0000 0.5000 0.5000  2 Sm 2.50
Sm1 0.5000 0.5000 0.5000  6 Re 2.50

Properties
Density ... 12214 kg/m3
V ... 124.56 Å³ per cell
SG ... Pm-3m
Final energy ... -6.164 eV per atom


Record 11
Computed, not measured: a relaxed PrNd2Cd3AgPt2 crystal at the PBE level of DFT.

Lattice parameters (Å, degrees): 4.0001 7.8472 7.8472 120.05 90.00 90.00
With the nearest neighbours (Å) after each atom.
Positions (direct):
Ag1 0.0000 0.9993 0.9993  6 Cd 2.83-2.84
Cd1 0.5000 0.9994 0.2569  2 Ag 2.84, 2 Pt 2.95-2.97
Cd2 0.5000 0.7434 0.7434  2 Ag 2.83, 2 Pt 2.97
Cd3 0.5000 0.2569 0.9994  2 Ag 2.84, 2 Pt 2.95-2.97
Nd1 0.0000 0.5855 0.0000  4 Pt 3.09, 1 Ag 3.25, 2 Cd 3.26
Nd2 0.0000 0.0000 0.5855  4 Pt 3.09, 1 Ag 3.25, 2 Cd 3.26
Pr1 0.0000 0.4145 0.4145  4 Pt 3.10, 1 Ag 3.25, 2 Cd 3.26
Pt1 0.5000 0.6679 0.3331  3 Cd 2.95-2.97, 4 Nd 3.09, 2 Pr 3.10
Pt2 0.5000 0.3331 0.6679  3 Cd 2.95-2.97, 4 Nd 3.09, 2 Pr 3.10

Properties
Density ... 9850 kg/m3
V ... 213.20 Å³ per cell
SG ... Amm2
Energy relative to the elements ... -0.710 eV/atom


Record 12
Computed, not measured: a relaxed DyNi3 crystal at the PBE level of DFT.

Lattice parameters (Å, degrees): 4.7012 4.7012 4.7012 131.15 131.15 71.58
With the nearest neighbours (Å) after each atom.
Positions (direct):
Dy1 0.0000 0.0000 0.0000  12 Ni 2.72-2.75
Ni1 0.5000 0.5000 0.0000  8 Ni 2.72, 4 Dy 2.75
Ni2 0.7500 0.2500 0.5000  4 Dy 2.72, 8 Ni 2.72-2.75
Ni3 0.2500 0.7500 0.5000  4 Dy 2.72, 8 Ni 2.72-2.75

Properties
Density ... 9752 kg/m3
V ... 57.65 Å³ per cell
SG ... I4/mmm
Energy relative to the elements ... -0.185 eV/atom